## Rb2LaRuSe (GGA-PBE)

Data for a relaxed structure of Rb2LaRuSe.

Results
- total magnetic moment (μB per formula unit) = 0.0
- density of states at the Fermi level (states/eV per atom) = 0.454
- formation energy (no corrections) (eV per atom) = 0.109

a = 5.971 Å, b = 5.015 Å, c = 5.971 Å
α = 90.00°, β = 90.00°, γ = 90.00°
Atoms (fractional coordinates):
Ru 0.000 0.000 0.000
Se 0.500 0.500 0.500
Rb 0.000 0.000 0.500
Rb 0.500 0.000 0.000
La 0.000 0.500 0.000